No. 1
DFT (GGA-PBE) results for TmSi3Tc5 after structural relaxation.

Unit cell a=3.0529 b=6.9719 c=13.6037 alpha=90.00 beta=90.00 gamma=102.65
Fractional coordinates of all 18 atoms:
Tm (0.1533, 0.3065, 0.2500)
Tm (0.8467, 0.6935, 0.7500)
Tc (0.4602, 0.9204, 0.3409)
Tc (0.1938, 0.3877, 0.9191)
Tc (0.0000, 0.0000, 0.0000)
Tc (0.1938, 0.3877, 0.5809)
Tc (0.8062, 0.6123, 0.4191)
Tc (0.0000, 0.0000, 0.5000)
Tc (0.5398, 0.0796, 0.6591)
Tc (0.5398, 0.0796, 0.8409)
Tc (0.8062, 0.6123, 0.0809)
Tc (0.4602, 0.9204, 0.1591)
Si (0.8421, 0.6841, 0.2500)
Si (0.3696, 0.7391, 0.5545)
Si (0.3696, 0.7391, 0.9455)
Si (0.6304, 0.2609, 0.4455)
Si (0.6304, 0.2609, 0.0545)
Si (0.1579, 0.3159, 0.7500)

* ΔE_f (raw): -0.375 eV/atom
* electronic total energy: -8.44 eV per atom
* crystal system: orthorhombic

---

No. 2
DFT (GGA-PBE) results for Pb2Au3 after structural relaxation.

Unit cell a=7.1916 b=7.1916 c=7.0723 alpha=59.44 beta=59.44 gamma=60.00
Fractional coordinates of all 10 atoms:
Pb (0.5997, 0.5997, 0.2009)
Pb (0.0997, 0.0997, 0.7009)
Pb (0.4003, 0.4003, 0.7991)
Pb (0.9003, 0.9003, 0.2991)
Au (0.9805, 0.7500, 0.7500)
Au (0.5195, 0.9805, 0.7500)
Au (0.4805, 0.0195, 0.2500)
Au (0.0195, 0.2500, 0.2500)
Au (0.7500, 0.5195, 0.7500)
Au (0.2500, 0.4805, 0.2500)

* formation energy from the elements: 52 meV per atom
* relative energy among the computed polymorphs: 0.120 eV per atom
* electronic total energy: -3.40 eV per atom
* crystal system: trigonal